Computed, not measured: a crystal of CrNi2Ir relaxed with PBEsol at the meta-GGA SCAN level of DFT.

Unit cell a=3.5881 b=3.5881 c=4.3865 alpha=114.14 beta=114.14 gamma=90.00
Fractional positions:
Ni1 0.7500 0.2500 0.5000
Ir1 0.2500 0.7500 0.5000
Cr1 0.0000 0.0000 0.0000
Ni2 0.5000 0.5000 0.0000

ρ in Mg/m³: 13.034
DOS(E_F) in states/eV per atom: 0.798
Energy relative to the elements in eV per atom: -0.164
M_tot in μB per cell: 1.09
Space group: I-4m2, No. 119

=====

Computed, not measured: a crystal of AlReRu2 relaxed with PBEsol at the meta-GGA SCAN level of DFT.

Unit cell a=2.6871 b=2.6871 c=8.6108 alpha=90.00 beta=90.00 gamma=115.73
Fractional positions:
Al1 0.0000 0.0000 0.5075
Re1 0.5000 0.5000 0.2499
Ru1 0.0000 0.0000 0.0004
Ru2 0.5000 0.5000 0.7422

ρ in Mg/m³: 12.314
DOS(E_F) in states/eV per atom: 0.954
Energy relative to the elements in eV per atom: 0.114
M_tot in μB per cell: 0.00
Space group: Cmm2, No. 35

=====

Computed, not measured: a crystal of TlAg2Au relaxed with PBEsol at the meta-GGA SCAN level of DFT.

Unit cell a=4.1416 b=4.1416 c=5.1993 alpha=113.47 beta=113.47 gamma=90.00
Fractional positions:
Ag1 0.2500 0.7500 0.5000
Au1 0.5000 0.5000 0.0000
Tl1 0.0000 0.0000 0.0000
Ag2 0.7500 0.2500 0.5000

ρ in Mg/m³: 13.906
DOS(E_F) in states/eV per atom: 0.299
Energy relative to the elements in eV per atom: 0.055
M_tot in μB per cell: 0.00
Distance to the lowest polymorph of the same formula in eV/atom: 0.0041
Space group: I4/mmm, No. 139